[1]
# SrScAgH2

A relaxed SrScAgH2 crystal (GGA-PBE, Alexandria via LeMat-Bulk).

```
SrScAgH2
1.0
4.328 0.000 0.000
0.000 7.430 0.000
0.000 0.000 4.328
Sc Sr Ag H
1 1 1 2
Cartesian
0.000 3.715 0.000
0.000 0.000 0.000
2.164 3.715 2.164
0.000 0.000 2.164
2.164 0.000 0.000
```



[2]
# PmDyGaSn

A relaxed PmDyGaSn crystal (GGA-PBE, Alexandria via LeMat-Bulk).

```
PmDyGaSn
1.0
-3.348 -4.039 0.617
0.493 -4.320 -2.999
1.686 -4.524 2.143
Pm Sn Ga Dy
1 1 1 1
Cartesian
-0.292 -3.221 -0.060
-0.585 -6.442 -0.120
0.000 0.000 0.000
-0.877 -9.663 -0.179
```

Energy of formation from the pure elements   -0.552 eV/atom



[3]
# BaNi2Sn8

A relaxed BaNi2Sn8 crystal (GGA-PBE, Alexandria via LeMat-Bulk).

```
BaNi2Sn8
1.0
6.326 0.000 0.000
0.000 6.326 0.000
0.000 0.000 8.817
Ba Ni Sn
1 2 8
Cartesian
3.163 3.163 4.408
3.163 0.000 0.000
0.000 3.163 0.000
4.761 4.761 1.540
4.761 1.565 7.277
4.761 4.761 7.277
4.761 1.565 1.540
1.565 4.761 1.540
1.565 4.761 7.277
1.565 1.565 1.540
1.565 1.565 7.277
```

Energy of formation from the pure elements   -0.128 eV/atom



[4]
# TbCeTmSn

A relaxed TbCeTmSn crystal (GGA-PBE, Alexandria via LeMat-Bulk).

```
TbCeTmSn
1.0
5.357 0.000 0.000
2.679 4.640 0.000
2.679 1.547 4.374
Tm Tb Sn Ce
1 1 1 1
Cartesian
5.357 3.093 2.187
0.000 0.000 0.000
8.036 4.640 3.281
2.679 1.547 1.094
```

Energy of formation from the pure elements   -0.179 eV/atom



[5]
# Tm4CoI2

A relaxed Tm4CoI2 crystal (GGA-PBE, Alexandria via LeMat-Bulk).

```
Tm4CoI2
1.0
3.947 0.000 0.000
0.000 5.854 -1.805
0.000 -2.917 12.566
I Tm Co
2 4 1
Cartesian
1.974 -0.530 4.102
1.974 3.468 6.659
1.974 2.420 0.703
0.000 -2.401 10.929
1.974 0.518 10.057
0.000 5.338 -0.168
0.000 2.927 -0.903
```

Formation energy (no corrections)   -502 meV per atom



[6]
# Ce2PrAl2Si2

A relaxed Ce2PrAl2Si2 crystal (GGA-PBE, Alexandria via LeMat-Bulk).

```
Ce2PrAl2Si2
1.0
4.309 0.000 0.000
2.155 3.732 0.000
2.155 1.244 9.461
Ce Pr Al Si
2 1 2 2
Cartesian
2.155 1.244 5.518
6.464 3.732 3.942
0.000 0.000 0.000
4.309 2.488 2.095
4.309 2.488 7.366
6.464 3.732 7.395
2.155 1.244 2.066
```

Formation energy (no corrections)   -402 meV per atom



[7]
# Sr2In5AgPd2

A relaxed Sr2In5AgPd2 crystal (GGA-PBE, Alexandria via LeMat-Bulk).

```
Sr2In5AgPd2
1.0
-1.377 0.722 -4.070
-9.825 -2.842 2.820
-2.188 10.070 2.526
Sr In Ag Pd
4 10 2 4
Cartesian
-7.093 -0.109 2.380
-4.920 7.337 2.966
-2.480 2.691 1.316
-9.533 4.536 4.029
-2.816 0.379 -1.312
-10.575 7.570 2.588
-3.013 8.215 0.145
-8.563 2.801 1.062
-10.377 -0.266 1.131
-4.827 5.149 0.214
-7.722 5.854 1.319
-5.669 2.095 -0.043
-5.601 -1.060 -0.625
-1.782 5.396 -0.772
0.000 0.000 0.000
-6.007 3.614 2.673
-2.474 5.865 1.877
-9.540 1.362 3.469
-7.978 7.166 3.970
-4.036 0.062 1.376
```

Energy of formation from the pure elements   -0.421 eV/atom



[8]
# Be2AsPb

A relaxed Be2AsPb crystal (GGA-PBE, Alexandria via LeMat-Bulk).

```
Be2AsPb
1.0
6.004 0.000 0.000
0.000 6.004 0.000
3.002 3.002 4.609
Pb Be As
2 4 2
Cartesian
0.000 0.000 0.000
6.004 3.002 2.304
4.086 1.501 1.152
1.918 4.503 1.152
4.503 4.920 3.456
7.505 7.087 3.456
3.002 3.002 0.000
3.002 6.004 2.304
```

Energy of formation from the pure elements   0.333 eV/atom



[9]
# La12TbEr6

A relaxed La12TbEr6 crystal (GGA-PBE, Alexandria via LeMat-Bulk).

```
La12TbEr6
1.0
8.899 0.103 -2.751
-3.758 8.067 -2.751
0.065 0.103 9.314
La Tb Er
12 1 6
Cartesian
3.656 1.674 3.562
-0.438 4.782 2.409
3.374 4.020 -1.145
1.549 6.598 0.249
5.643 3.491 1.402
1.831 4.252 4.956
2.156 1.072 6.511
-1.011 5.864 5.746
7.207 1.626 3.722
3.049 7.200 -2.700
6.217 2.408 -1.935
-2.001 6.646 0.089
0.000 0.000 0.000
0.079 1.603 3.352
5.153 4.677 4.748
1.584 7.507 3.478
5.126 6.669 0.459
0.052 3.596 -0.937
3.621 0.765 0.333
```

Energy of formation from the pure elements   0.228 eV/atom



[10]
# ZnHBr3

A relaxed ZnHBr3 crystal (GGA-PBE, Alexandria via LeMat-Bulk).

```
ZnHBr3
1.0
-3.695 1.734 2.361
0.324 -3.535 3.104
2.912 2.595 2.651
H Zn Br
1 1 3
Cartesian
0.000 0.000 0.000
-0.230 0.397 4.058
0.162 -1.768 1.552
1.456 1.297 1.326
-1.848 0.867 1.181
```



[11]
# NpSnRh2

A relaxed NpSnRh2 crystal (GGA-PBE, Alexandria via LeMat-Bulk).

```
NpSnRh2
1.0
3.145 0.000 0.000
0.000 3.145 0.000
0.000 0.000 7.422
Np Rh Sn
1 2 1
Cartesian
1.572 1.572 3.711
0.000 0.000 5.773
0.000 0.000 1.649
1.572 1.572 0.000
```

Energy of formation from the pure elements   -0.264 eV/atom



[12]
# K3Na3Tl2

A relaxed K3Na3Tl2 crystal (GGA-PBE, Alexandria via LeMat-Bulk).

```
K3Na3Tl2
1.0
5.463 -0.001 -0.002
0.000 6.850 -0.186
2.729 1.577 9.501
K Na Tl
3 3 2
Cartesian
5.462 3.320 3.006
2.731 5.106 6.307
0.000 0.000 0.000
2.732 6.369 2.438
2.732 3.424 -0.094
5.461 2.057 6.876
5.463 6.812 4.243
2.730 1.614 5.071
```

Energy of formation from the pure elements   -0.028 eV/atom



no.,E (eV/atom)
1,-3.044
2,-4.648
3,-4.265
4,-4.939
5,-4.515
6,-5.398
7,-3.451
8,-3.620
9,-4.569
10,-1.391
11,-8.175
12,-1.526